[1]
# Zn2CoMo

Zn2CoMo after structural relaxation (PBE-GGA, Alexandria).

Output
- Spin magnetization: 0.000 μB per atom
- VASP energy: -5.04 eV per atom
- Offset from the most stable computed form: 0.088 eV per atom

Unit cell a=2.6445 b=3.9970 c=5.3183 alpha=90.00 beta=104.33 gamma=90.00
Space group Pm (No. 6)
Inequivalent atoms, fractional coordinates:
Zn1 0.0000 0.0000 0.0000 (multiplicity 1)
Zn2 0.3946 0.5000 0.7875 (multiplicity 1)
Co1 0.1506 0.5000 0.2882 (multiplicity 1)
Mo1 0.7421 0.0000 0.4750 (multiplicity 1)

[2]
# ErHfCoPt

ErHfCoPt after structural relaxation (PBE-GGA, Alexandria).

Output
- Spin magnetization: 0.143 μB per atom
- VASP energy: -7.56 eV per atom

Unit cell a=6.6440 b=6.6440 c=6.6440 alpha=90.00 beta=90.00 gamma=90.00
Space group F-43m (No. 216)
Inequivalent atoms, fractional coordinates:
Er1 0.0000 0.0000 0.0000 (multiplicity 4)
Hf1 0.0000 0.0000 0.5000 (multiplicity 4)
Co1 0.2500 0.2500 0.2500 (multiplicity 4)
Pt1 0.2500 0.2500 0.7500 (multiplicity 4)

no.,ΔH_f (0 K) (kcal/mol of atoms)
1,1.98
2,-14.93